Compound: Li2MgCdGa2Ir2
Source: OQMD via LeMat-Bulk
Functional: PBE-GGA
Structure: optimized geometry

a b c (Å): 4.406 4.406 6.237
angles (deg): 90.00 90.00 90.00
Space group P-4m2 (No. 115)
Inequivalent atoms, fractional coordinates:
Li1 0.000 0.500 0.250
Mg1 0.000 0.000 0.000
Cd1 0.500 0.500 0.500
Ga1 0.000 0.000 0.500
Ga2 0.500 0.500 0.000
Ir1 0.000 0.500 0.758

## Properties
magnetic moment = 0.00 μB/cell
energy = -4.143 eV/atom